Ca2TlSn | PBE | optimized geometry

Lattice parameters (Å, degrees): 5.4819 5.4819 5.4819 60.00 60.00 60.00
Last column: nearest neighbours and their distance in Å.
Positions (direct):
Ca1 0.0000 0.0000 0.0000  4 Tl 3.36, 4 Sn 3.36
Ca2 0.5000 0.5000 0.5000  4 Sn 3.36, 4 Tl 3.36
Tl1 0.7500 0.7500 0.7500  8 Ca 3.36
Sn1 0.2500 0.2500 0.2500  8 Ca 3.36

Output
**E_form**: -537.0 meV per atom
**ρ**: 5.7 g/cm3